Record 1
DFT (PBEsol) results for an optimized crystal structure of CdTeSe.

Cell lengths 4.1176, 4.1176, 5.1179 Å; angles 90.00, 90.00, 120.00 degrees
With the nearest neighbours (Å) after each atom.
Element x y z (fractional)
Cd 0.0000 0.0000 0.0000  3 Se 2.76, 3 Te 2.92
Te 0.3333 0.6667 0.3311  3 Cd 2.92, 3 Se 3.12
Se 0.6667 0.3333 0.7254  3 Cd 2.76

E_form (uncorrected) (eV per atom): -0.0892
Polymorph energy (0 for the lowest one) (meV/atom): 0

***

Record 2
DFT (PBEsol) results for an optimized crystal structure of Cu2ReP.

Cell lengths 3.4541, 3.7377, 7.5608 Å; angles 90.00, 90.00, 90.00 degrees
With the nearest neighbours (Å) after each atom.
Element x y z (fractional)
Cu 0.0000 0.0000 0.0000  4 P 2.55, 4 Cu 2.58-2.64, 4 Re 2.59-2.63
Cu 0.0000 0.5000 0.2357  2 P 2.45, 4 Re 2.55, 4 Cu 2.58-2.64
Cu 0.5000 0.0000 0.7357  2 P 2.45, 4 Re 2.55, 4 Cu 2.58-2.64
Cu 0.5000 0.5000 0.5000  4 P 2.55, 4 Cu 2.58-2.64, 4 Re 2.59-2.63
Re 0.0000 0.5000 0.7629  4 P 2.52-2.70, 8 Cu 2.55-2.63
Re 0.5000 0.0000 0.2629  4 P 2.52-2.70, 8 Cu 2.55-2.63
P 0.0000 0.0000 0.5058  6 Cu 2.45-2.55, 4 Re 2.52-2.70
P 0.5000 0.5000 0.0058  6 Cu 2.45-2.55, 4 Re 2.52-2.70

ΔE_f (kJ/mol of atoms): 18.7

***

Record 3
DFT (PBEsol) results for an optimized crystal structure of RbSb2O.

Cell lengths 7.1427, 7.1427, 7.1427 Å; angles 60.00, 60.00, 60.00 degrees
With the nearest neighbours (Å) after each atom.
Element x y z (fractional)
Rb 0.1250 0.1250 0.1250  12 Sb 4.19, 4 Rb 4.37, 4 O 4.37
Rb 0.8750 0.8750 0.8750  12 Sb 4.19, 4 O 4.37, 4 Rb 4.37
Sb 0.0000 0.5000 0.5000  2 O 2.19
Sb 0.5000 0.0000 0.5000  2 O 2.19
Sb 0.5000 0.5000 0.0000  2 O 2.19
Sb 0.5000 0.5000 0.5000  2 O 2.19
O 0.3750 0.3750 0.3750  4 Sb 2.19
O 0.6250 0.6250 0.6250  4 Sb 2.19

E_form (uncorrected) (eV per atom): -0.3709

***

Record 4
DFT (PBEsol) results for an optimized crystal structure of K3AgH.

Cell lengths 5.3693, 5.3693, 5.3693 Å; angles 90.00, 90.00, 90.00 degrees
With the nearest neighbours (Å) after each atom.
Element x y z (fractional)
K 0.0000 0.0000 0.5000  2 H 2.68
K 0.0000 0.5000 0.0000  2 H 2.68
K 0.5000 0.0000 0.0000  2 H 2.68
Ag 0.5000 0.5000 0.5000  12 K 3.80
H 0.0000 0.0000 0.0000  6 K 2.68

Electronic total energy (eV per atom): -1.9427

***

Record 5
DFT (PBEsol) results for an optimized crystal structure of TlW2Au.

Cell lengths 4.8732, 4.8732, 2.8923 Å; angles 90.00, 90.00, 90.00 degrees
With the nearest neighbours (Å) after each atom.
Element x y z (fractional)
Tl 0.0000 0.0000 0.0000  8 W 2.83, 2 Tl 2.89
W 0.0000 0.5000 0.5000  4 Tl 2.83, 4 Au 2.83, 2 W 2.89
W 0.5000 0.0000 0.5000  4 Tl 2.83, 4 Au 2.83, 2 W 2.89
Au 0.5000 0.5000 0.0000  8 W 2.83, 2 Au 2.89

Polymorph energy (0 for the lowest one) (meV/atom): 217
ΔE_f (kJ/mol of atoms): 93.9

***

Record 6
DFT (PBEsol) results for an optimized crystal structure of ZrZnAg.

Cell lengths 3.0419, 3.0419, 11.1847 Å; angles 90.00, 90.00, 90.00 degrees
With the nearest neighbours (Å) after each atom.
Element x y z (fractional)
Zr 0.0000 0.0000 0.0000  4 Zn 2.87, 4 Ag 3.01, 4 Zr 3.04
Zr 0.5000 0.5000 0.5000  4 Zn 2.87, 4 Ag 3.01, 4 Zr 3.04
Zn 0.0000 0.0000 0.6692  4 Ag 2.68, 4 Zr 2.87
Zn 0.5000 0.5000 0.1692  4 Ag 2.68, 4 Zr 2.87
Ag 0.0000 0.0000 0.3121  4 Zn 2.68
Ag 0.5000 0.5000 0.8121  4 Zn 2.68

ΔE_f (kJ/mol of atoms): -14.4

***

Values of size of the total moment, in order: 0.000; 0.000; 0.000; 0.005; 0.000; 0.003, all in μB per cell.